A plane-wave DFT calculation with PBE-GGA was carried out for crystalline CaP3Os at its relaxed geometry.

Cell lengths 4.6937, 4.6937, 4.6937 Å; angles 90.00, 90.00, 90.00 degrees
Sites, in units of the cell vectors:
Ca (0.0000, 0.0000, 0.0000)
P (0.0000, 0.5000, 0.5000)
P (0.5000, 0.0000, 0.5000)
P (0.5000, 0.5000, 0.0000)
Os (0.5000, 0.5000, 0.5000)

Results
Formation enthalpy at 0 K: 0.16 eV per atom
Symmetry: Pm-3m, No. 221
D(E_F): 4.7 states/eV/f.u.

A plane-wave DFT calculation with PBE-GGA was carried out for crystalline Zr2RhPb at its relaxed geometry.

Cell lengths 10.5571, 10.5571, 10.5571 Å; angles 157.01, 157.01, 32.74 degrees
Sites, in units of the cell vectors:
Zr (0.1244, 0.6250, 0.9994)
Zr (0.3750, 0.3744, 0.4994)
Zr (0.6256, 0.1250, 0.0006)
Zr (0.8750, 0.8756, 0.5006)
Rh (0.2500, 0.7500, 0.5000)
Rh (0.5000, 0.5000, 0.0000)
Pb (0.0000, 0.0000, 0.0000)
Pb (0.7500, 0.2500, 0.5000)

Results
Formation enthalpy at 0 K: 0.21 eV per atom
Symmetry: I-42d, No. 122
D(E_F): 3.1 states/eV/f.u.

A plane-wave DFT calculation with PBE-GGA was carried out for crystalline DyAl3ZnNi at its relaxed geometry.

Cell lengths 6.8728, 6.8728, 5.7496 Å; angles 90.00, 90.00, 128.53 degrees
Sites, in units of the cell vectors:
Dy (0.2142, 0.7858, 0.7500)
Dy (0.7858, 0.2142, 0.2500)
Al (0.2165, 0.2165, 0.0000)
Al (0.2165, 0.2165, 0.5000)
Al (0.3660, 0.6340, 0.2500)
Al (0.6340, 0.3660, 0.7500)
Al (0.7835, 0.7835, 0.0000)
Al (0.7835, 0.7835, 0.5000)
Zn (0.1550, 0.8450, 0.2500)
Zn (0.8450, 0.1550, 0.7500)
Ni (0.4249, 0.5751, 0.7500)
Ni (0.5751, 0.4249, 0.2500)

Results
Formation enthalpy at 0 K: -0.28 eV per atom
Symmetry: Cmcm, No. 63
D(E_F): 2.4 states/eV/f.u.

A plane-wave DFT calculation with PBE-GGA was carried out for crystalline CeDySc2 at its relaxed geometry.

Cell lengths 3.4481, 3.4481, 9.1833 Å; angles 90.00, 90.00, 90.00 degrees
Sites, in units of the cell vectors:
Ce (0.0000, 0.0000, 0.0000)
Dy (0.0000, 0.0000, 0.5000)
Sc (0.5000, 0.5000, 0.2433)
Sc (0.5000, 0.5000, 0.7567)

Results
Formation enthalpy at 0 K: 0.07 eV per atom
Symmetry: P4/mmm, No. 123
D(E_F): 7.6 states/eV/f.u.

Number 1: magnetization 0.00 μB per formula unit. Number 2: magnetization 0.00 μB per formula unit. Number 3: magnetization 0.00 μB per formula unit. Number 4: magnetization 0.50 μB per formula unit.